(1)
Material: NpInIr
Method: DFT, PBE
State: optimized geometry

Cell: 5.1187 5.1187 5.3819 Å, 90.00 90.00 90.00°
Space group P4/nmm (No. 129, origin choice 2)
Unique sites:
Np 0.2500 0.2500 0.1609 [2 per cell]
In 0.2500 0.7500 0.5000 [2 per cell]
Ir 0.2500 0.2500 0.6962 [2 per cell]

Properties
- Crystal system: tetragonal
- N(E_F): 3.89 states/eV per atom
- ΔE_f: 0.086 eV/atom



(2)
Material: Na8B13C3
Method: DFT, PBE
State: optimized geometry

Cell: 18.0088 2.8587 10.5000 Å, 90.00 106.91 90.00°
Space group Cm (No. 8)
Unique sites:
Na 0.0000 0.0000 0.0000 [2 per cell]
Na 0.9999 0.0000 0.4991 [2 per cell]
Na 0.2502 0.5000 0.8754 [2 per cell]
Na 0.2513 0.0000 0.6253 [2 per cell]
Na 0.2520 0.0000 0.1260 [2 per cell]
Na 0.2518 0.5000 0.3751 [2 per cell]
Na 0.4975 0.0000 0.2485 [2 per cell]
Na 0.4992 0.0000 0.7502 [2 per cell]
B 0.1253 0.0000 0.3791 [2 per cell]
B 0.1247 0.0000 0.7336 [2 per cell]
B 0.1251 0.5000 0.1564 [2 per cell]
B 0.1255 0.5000 0.4756 [2 per cell]
B 0.1248 0.5000 0.6361 [2 per cell]
B 0.1255 0.0000 0.8971 [2 per cell]
B 0.1259 0.5000 0.9910 [2 per cell]
B 0.3751 0.0000 0.3635 [2 per cell]
B 0.3754 0.0000 0.8638 [2 per cell]
B 0.3750 0.5000 0.2687 [2 per cell]
B 0.3752 0.5000 0.5952 [2 per cell]
B 0.3753 0.5000 0.7691 [2 per cell]
B 0.3755 0.5000 0.0952 [2 per cell]
C 0.1247 0.0000 0.2287 [2 per cell]
C 0.3750 0.0000 0.5209 [2 per cell]
C 0.3758 0.0000 0.0211 [2 per cell]

Properties
- Crystal system: monoclinic
- N(E_F): 0.23 states/eV per atom
- ΔE_f: 0.200 eV/atom
- Energy above the lowest structure with this stoichiometry: 0.0179 eV per atom



(3)
Material: CsLiNdI4
Method: DFT, PBE
State: optimized geometry

Cell: 7.5150 7.8972 10.1895 Å, 90.00 99.25 90.00°
Space group P2_1/m (No. 11)
Unique sites:
Cs 0.2126 0.2500 0.0715 [2 per cell]
Li 0.3870 0.2500 0.6755 [2 per cell]
Nd 0.1273 0.7500 0.4642 [2 per cell]
I 0.1425 0.5033 0.7205 [4 per cell]
I 0.2863 0.7500 0.1728 [2 per cell]
I 0.4454 0.2500 0.4254 [2 per cell]

Properties
- Crystal system: monoclinic
- N(E_F): 0.33 states/eV per atom
- Raw formation energy: -8.7 eV/f.u.



(4)
Material: SrCdAgF6
Method: DFT, PBE
State: optimized geometry

Cell: 6.0746 9.8645 5.2442 Å, 90.00 92.55 90.00°
Space group C2 (No. 5)
Unique sites:
Sr 0.0000 0.0000 0.0000 [2 per cell]
Cd 0.0000 0.6718 0.5000 [2 per cell]
Ag 0.0000 0.3295 0.5000 [2 per cell]
F 0.1559 0.4930 0.7193 [4 per cell]
F 0.1588 0.8242 0.7523 [4 per cell]
F 0.1704 0.1712 0.7142 [4 per cell]

Properties
- Crystal system: monoclinic
- Raw formation energy: -21.4 eV/f.u.



(5)
Material: RePt2Br
Method: DFT, PBE
State: optimized geometry

Cell: 2.9046 2.9046 28.1748 Å, 90.00 90.00 120.00°
Space group R-3m (No. 166, hexagonal axes)
Unique sites:
Re 0.0000 0.0000 0.0000 [3 per cell]
Pt 0.0000 0.0000 0.2582 [6 per cell]
Br 0.0000 0.0000 0.5000 [3 per cell]

Properties
- Crystal system: trigonal
- N(E_F): 1.28 states/eV per atom
- Raw formation energy: 1.5 eV/f.u.
- Energy above the lowest structure with this stoichiometry: 0.1388 eV per atom



(6)
Material: PrDy2Zn2Si2
Method: DFT, PBE
State: optimized geometry

Cell: 4.0991 4.0991 33.9313 Å, 90.00 90.00 120.00°
Space group R-3m (No. 166, hexagonal axes)
Unique sites:
Pr 0.0000 0.0000 0.0000 [3 per cell]
Dy 0.0000 0.0000 0.1230 [6 per cell]
Zn 0.0000 0.0000 0.3968 [6 per cell]
Si 0.0000 0.0000 0.2675 [6 per cell]

Properties
- Crystal system: trigonal
- N(E_F): 1.07 states/eV per atom
- Raw formation energy: -3.2 eV/f.u.



(7)
Material: K3NaPb
Method: DFT, PBE
State: optimized geometry

Cell: 12.1008 7.9110 10.9691 Å, 90.00 90.00 90.00°
Space group Ima2 (No. 46)
Unique sites:
K 0.0395 0.2274 0.0000 [8 per cell]
K 0.2500 0.0028 0.2893 [4 per cell]
Na 0.2500 0.5773 0.1866 [4 per cell]
Pb 0.2500 0.6174 0.4772 [4 per cell]

Properties
- Crystal system: orthorhombic
- N(E_F): 0.59 states/eV per atom
- ΔE_f: -0.038 eV/atom
- Energy above the lowest structure with this stoichiometry: 0.0315 eV per atom



(8)
Material: LiNdGa2Pt2
Method: DFT, PBE
State: optimized geometry

Cell: 4.3944 4.3944 6.7022 Å, 90.00 90.00 120.00°
Space group P-3m1 (No. 164)
Unique sites:
Li 0.0000 0.0000 0.0000 [1 per cell]
Nd 0.0000 0.0000 0.5000 [1 per cell]
Ga 0.3333 0.6667 0.8203 [2 per cell]
Pt 0.3333 0.6667 0.2146 [2 per cell]

Properties
- Crystal system: trigonal
- N(E_F): 0.71 states/eV per atom
- ΔE_f: -0.900 eV/atom



| no. | VASP energy (eV/atom) | V (A^3/atom) |
| --- | --- | --- |
| 1 | -8.094 | 23.5 |
| 2 | -5.010 | 10.8 |
| 3 | -3.201 | 42.6 |
| 4 | -4.230 | 17.4 |
| 5 | -6.185 | 17.2 |
| 6 | -4.364 | 23.5 |
| 7 | -1.701 | 52.5 |
| 8 | -5.036 | 18.7 |